## In6SnPb5 (GGA-PBE)

Data for a relaxed In6SnPb5 crystal.

Values from the calculation:
calculated formation energy = 0.025 eV/atom
total energy = -3.223 eV per atom

```
In6SnPb5
1.0
5.233 -7.648 0.000
5.233 7.648 0.000
-2.170 0.000 4.374
In Sn Pb
6 1 5
Cartesian
0.976 2.520 3.272
2.029 0.000 1.071
0.976 -2.520 3.272
7.321 2.520 1.102
6.267 0.000 3.303
7.321 -2.520 1.102
-1.085 0.000 2.187
5.233 5.118 0.000
4.148 2.554 2.187
5.233 0.000 0.000
4.148 -2.554 2.187
5.233 -5.118 0.000
```



## Pr5Th3As8 (GGA-PBE)

Data for a relaxed Pr5Th3As8 crystal.

Values from the calculation:
calculated formation energy = -1.488 eV/atom
total energy = -6.697 eV per atom

```
Pr5Th3As8
1.0
4.288 2.476 6.998
-4.288 2.476 6.998
0.000 -4.951 6.998
Pr Th As
5 3 8
Cartesian
0.000 0.000 0.000
-2.144 -1.238 6.998
-2.144 1.238 13.996
0.000 2.476 6.998
0.000 0.000 10.497
-4.288 0.000 10.497
-2.144 1.238 3.499
2.144 1.238 3.499
-2.164 -1.249 12.213
0.000 0.000 5.209
0.000 -2.499 8.780
-2.164 1.249 8.780
2.164 -1.249 12.213
0.000 2.499 12.213
0.000 0.000 15.784
2.164 1.249 8.780
```



## PmTlAu (GGA-PBE)

Data for a relaxed PmTlAu crystal.

Values from the calculation:
calculated formation energy = -0.442 eV/atom
total energy = -3.907 eV per atom
ΔE to the lowest computed polymorph = 174 meV per atom

```
PmTlAu
1.0
-1.827 1.827 5.772
1.827 -1.827 5.772
1.827 1.827 -5.772
Pm Tl Au
1 1 1
Cartesian
0.000 0.000 0.000
0.000 0.000 8.036
0.000 0.000 4.069
```



## Ca2GaHgN (GGA-PBE)

Data for a relaxed Ca2GaHgN crystal.

Values from the calculation:
total energy = -3.611 eV per atom
raw formation energy = -46.31 kJ/mol of atoms

```
Ca2GaHgN
1.0
4.960 0.000 0.000
0.000 4.960 0.000
0.000 0.000 4.202
Ca Ga Hg N
2 1 1 1
Cartesian
0.000 2.480 0.000
2.480 0.000 0.000
0.000 0.000 2.101
2.480 2.480 2.101
0.000 0.000 0.000
```



## Cr2B6W (GGA-PBE)

Data for a relaxed Cr2B6W crystal.

Values from the calculation:
calculated formation energy = -0.277 eV/atom
total energy = -8.306 eV per atom

```
Cr2B6W
1.0
5.207 0.000 0.000
-2.604 4.509 0.000
0.000 0.000 3.116
Cr B W
2 6 1
Cartesian
0.000 3.006 0.000
2.604 1.503 0.000
-0.879 1.523 1.558
-1.724 2.986 1.558
1.759 0.000 1.558
0.879 1.523 1.558
3.448 0.000 1.558
1.724 2.986 1.558
0.000 0.000 0.000
```



## La3Ho5Er (GGA-PBE)

Data for a relaxed La3Ho5Er crystal.

Values from the calculation:
calculated formation energy = 0.435 eV/atom
total energy = -4.257 eV per atom

```
La3Ho5Er
1.0
6.136 -4.139 0.000
6.136 4.139 0.000
-3.868 0.000 12.574
La Ho Er
6 10 2
Cartesian
0.000 0.000 0.000
-1.934 0.000 6.287
1.270 0.000 6.469
1.277 0.000 9.710
7.128 0.000 2.864
7.135 0.000 6.104
4.117 2.481 2.685
3.159 0.000 0.259
4.289 2.481 9.889
6.136 1.484 0.000
4.067 0.000 4.743
4.338 0.000 7.830
6.136 -1.484 0.000
4.117 -2.481 2.685
5.246 0.000 12.314
4.289 -2.481 9.889
1.087 0.000 3.077
7.318 0.000 9.497
```



- What is the formula in the second record?
  Pr5Th3As8